No. 1
This record from the Alexandria database describes a relaxed RbIrPb2O8 crystal. The functional is PBE-GGA.

Cell: 5.785 5.373 8.273 Å, 53.62 107.15 106.48°
Site moments in Bohr magnetons follow the coordinates.
Fractional positions:
Rb 0.000 0.000 0.500  0.00
O 0.768 0.003 0.136  0.00
O 0.849 0.329 0.753  -0.08
O 0.518 0.136 0.494  0.22
O 0.261 0.315 0.019  -0.02
O 0.482 0.864 0.506  0.22
O 0.739 0.685 0.981  -0.02
O 0.232 0.997 0.864  0.00
O 0.151 0.671 0.247  -0.08
Pb 0.550 0.394 0.847  0.00
Pb 0.450 0.606 0.153  0.00
Ir 0.000 0.000 0.000  -0.31

- Raw formation energy: -815 meV/atom
- Final energy: -66.69 eV/cell

No. 2
This record from the Alexandria database describes a relaxed Rb2IrPb2O6 crystal. The functional is PBE-GGA.

Cell: 5.993 5.993 6.796 Å, 98.40 98.40 118.38°
Fractional positions:
Rb 0.831 0.169 0.000
Rb 0.169 0.831 0.000
O 0.336 0.051 0.666
O 0.217 0.217 0.329
O 0.949 0.664 0.334
O 0.051 0.336 0.666
O 0.664 0.949 0.334
O 0.783 0.783 0.671
Pb 0.664 0.336 0.500
Pb 0.336 0.664 0.500
Ir 0.000 0.000 0.500

- Raw formation energy: -1109 meV/atom
- Final energy: -60.16 eV/cell